This record from the Open Quantum Materials Database describes an optimized crystal structure of Er2ReIr3. The functional is PBE.

Unit cell a=5.4411 b=5.4411 c=8.4151 alpha=90.00 beta=90.00 gamma=120.00
Closest atoms and distances in Å follow each position.
Fractional positions:
Er: 0.6667 0.3333 0.0636  9 Ir 3.06-3.14, 4 Er 3.14-3.32, 3 Re 3.19
Er: 0.3333 0.6667 0.5636  9 Ir 3.06-3.14, 4 Er 3.14-3.32, 3 Re 3.19
Er: 0.6667 0.3333 0.4364  9 Ir 3.06-3.14, 4 Er 3.14-3.32, 3 Re 3.19
Er: 0.3333 0.6667 0.9364  9 Ir 3.06-3.14, 4 Er 3.14-3.32, 3 Re 3.19
Ir: 0.3398 0.1699 0.7500  2 Re 2.64, 4 Ir 2.67-2.77
Ir: 0.1699 0.8301 0.2500  2 Re 2.64, 4 Ir 2.67-2.77
Ir: 0.1699 0.3398 0.2500  2 Re 2.64, 4 Ir 2.67-2.77
Ir: 0.8301 0.6602 0.7500  2 Re 2.64, 4 Ir 2.67-2.77
Ir: 0.8301 0.1699 0.7500  2 Re 2.64, 4 Ir 2.67-2.77
Ir: 0.6602 0.8301 0.2500  2 Re 2.64, 4 Ir 2.67-2.77
Re: 0.0000 0.0000 0.5000  6 Ir 2.64
Re: 0.0000 0.0000 0.0000  6 Ir 2.64

Values from the calculation:
E   -8.733 eV/atom
ΔH_f (0 K)   -0.714 eV/atom
SG   No. 194